#A
SiP2BrO | PBE-GGA | optimized geometry

Its calculated density is 3.9 g/cm³.

The structure belongs to space group P4/mmm (No. 123); the cell edges are 4.8702, 4.8702 and 3.3619 Å and the angles 90.00°, 90.00° and 90.00°. The inequivalent atoms are Si at (0.0000, 0.0000, 0.0000), P at (0.0000, 0.5000, 0.0000), Br at (0.5000, 0.5000, 0.5000) and O at (0.0000, 0.0000, 0.5000).

#B
SiP2BrO | PBE-GGA | optimized geometry

Its calculated density is 3.4 g/cm³.

The structure belongs to space group P4/mmm (No. 123); the cell edges are 4.9134, 4.9134 and 3.7696 Å and the angles 90.00°, 90.00° and 90.00°. The inequivalent atoms are Si at (0.0000, 0.0000, 0.0000), P at (0.0000, 0.5000, 0.5000), Br at (0.5000, 0.5000, 0.5000) and O at (0.5000, 0.5000, 0.0000).

Most stable: #A. Least stable: #B.

#A
SnPBrO2 | PBE-GGA | optimized geometry

Its calculated density is 4.8 g/cm³.

The structure belongs to space group P4/mmm (No. 123); the cell edges are 3.9498, 3.9498 and 5.8312 Å and the angles 90.00°, 90.00° and 90.00°. The inequivalent atoms are Sn at (0.0000, 0.0000, 0.0000), P at (0.0000, 0.0000, 0.5000), Br at (0.5000, 0.5000, 0.5000) and O at (0.0000, 0.5000, 0.0000).

#B
SnPBrO2 | PBE-GGA | optimized geometry

Its calculated density is 5.3 g/cm³.

The structure belongs to space group P4/mmm (No. 123); the cell edges are 4.0358, 4.0358 and 5.0530 Å and the angles 90.00°, 90.00° and 90.00°. The inequivalent atoms are Sn at (0.0000, 0.0000, 0.0000), P at (0.5000, 0.5000, 0.0000), Br at (0.5000, 0.5000, 0.5000) and O at (0.0000, 0.5000, 0.5000).

Most stable: #A. Least stable: #B.

#A
TaPBrO2 | PBE-GGA | optimized geometry

Its calculated density is 5.6 g/cm³.

The structure belongs to space group P4/mmm (No. 123); the cell edges are 3.6903, 3.6903 and 7.0996 Å and the angles 90.00°, 90.00° and 90.00°. The inequivalent atoms are Ta at (0.0000, 0.0000, 0.0000), P at (0.5000, 0.5000, 0.0000), Br at (0.5000, 0.5000, 0.5000) and O at (0.0000, 0.5000, 0.5000).

#B
TaPBrO2 | PBE-GGA | optimized geometry

Its calculated density is 6.5 g/cm³.

The structure belongs to space group P4/mmm (No. 123); the cell edges are 3.8929, 3.8929 and 5.4804 Å and the angles 90.00°, 90.00° and 90.00°. The inequivalent atoms are Ta at (0.0000, 0.0000, 0.0000), P at (0.0000, 0.0000, 0.5000), Br at (0.5000, 0.5000, 0.5000) and O at (0.0000, 0.5000, 0.0000).

Most stable: #B. Least stable: #A.

#A
TaP2BrO | PBE-GGA | optimized geometry

Its calculated density is 5.8 g/cm³.

The structure belongs to space group P4/mmm (No. 123); the cell edges are 4.9865, 4.9865 and 3.9133 Å and the angles 90.00°, 90.00° and 90.00°. The inequivalent atoms are Ta at (0.0000, 0.0000, 0.0000), P at (0.0000, 0.5000, 0.0000), Br at (0.5000, 0.5000, 0.5000) and O at (0.0000, 0.0000, 0.5000).

#B
TaP2BrO | PBE-GGA | optimized geometry

Its calculated density is 6.7 g/cm³.

The structure belongs to space group P4/mmm (No. 123); the cell edges are 4.8233, 4.8233 and 3.6172 Å and the angles 90.00°, 90.00° and 90.00°. The inequivalent atoms are Ta at (0.0000, 0.0000, 0.0000), P at (0.0000, 0.5000, 0.5000), Br at (0.5000, 0.5000, 0.5000) and O at (0.5000, 0.5000, 0.0000).

Most stable: #A. Least stable: #B.

#A
TePBrO2 | PBE-GGA | optimized geometry

Its calculated density is 5.0 g/cm³.

The structure belongs to space group P4/mmm (No. 123); the cell edges are 3.8516, 3.8516 and 6.0036 Å and the angles 90.00°, 90.00° and 90.00°. The inequivalent atoms are Te at (0.0000, 0.0000, 0.0000), P at (0.5000, 0.5000, 0.0000), Br at (0.5000, 0.5000, 0.5000) and O at (0.0000, 0.5000, 0.5000).

#B
TePBrO2 | PBE-GGA | optimized geometry

Its calculated density is 5.1 g/cm³.

The structure belongs to space group P4/mmm (No. 123); the cell edges are 3.9525, 3.9525 and 5.6549 Å and the angles 90.00°, 90.00° and 90.00°. The inequivalent atoms are Te at (0.0000, 0.0000, 0.0000), P at (0.0000, 0.0000, 0.5000), Br at (0.5000, 0.5000, 0.5000) and O at (0.0000, 0.5000, 0.0000).

Most stable: #B. Least stable: #A.

#A
TiP2BrO | PBE-GGA | optimized geometry

Its calculated density is 3.9 g/cm³.

The structure belongs to space group P4/mmm (No. 123); the cell edges are 4.8439, 4.8439 and 3.7031 Å and the angles 90.00°, 90.00° and 90.00°. The inequivalent atoms are Ti at (0.0000, 0.0000, 0.0000), P at (0.0000, 0.5000, 0.5000), Br at (0.5000, 0.5000, 0.5000) and O at (0.5000, 0.5000, 0.0000).

#B
TiP2BrO | PBE-GGA | optimized geometry

Its calculated density is 3.2 g/cm³.

The structure belongs to space group P4/mmm (No. 123); the cell edges are 4.7615, 4.7615 and 4.7374 Å and the angles 90.00°, 90.00° and 90.00°. The inequivalent atoms are Ti at (0.0000, 0.0000, 0.0000), P at (0.0000, 0.5000, 0.5000), Br at (0.0000, 0.0000, 0.5000) and O at (0.5000, 0.5000, 0.0000).

#C
TiP2BrO | PBE-GGA | optimized geometry

Its calculated density is 3.7 g/cm³.

The structure belongs to space group P4/mmm (No. 123); the cell edges are 4.9747, 4.9747 and 3.7417 Å and the angles 90.00°, 90.00° and 90.00°. The inequivalent atoms are Ti at (0.0000, 0.0000, 0.0000), P at (0.0000, 0.5000, 0.0000), Br at (0.5000, 0.5000, 0.5000) and O at (0.0000, 0.0000, 0.5000).

Most stable: #C. Least stable: #B.

#A
TiPBrO2 | PBE-GGA | optimized geometry

Its calculated density is 4.1 g/cm³.

The structure belongs to space group P4/mmm (No. 123); the cell edges are 3.7983, 3.7983 and 5.3863 Å and the angles 90.00°, 90.00° and 90.00°. The inequivalent atoms are Ti at (0.0000, 0.0000, 0.0000), P at (0.5000, 0.5000, 0.0000), Br at (0.5000, 0.5000, 0.5000) and O at (0.0000, 0.5000, 0.5000).

#B
TiPBrO2 | PBE-GGA | optimized geometry

Its calculated density is 4.0 g/cm³.

The structure belongs to space group P4/mmm (No. 123); the cell edges are 3.7788, 3.7788 and 5.6018 Å and the angles 90.00°, 90.00° and 90.00°. The inequivalent atoms are Ti at (0.0000, 0.0000, 0.0000), P at (0.0000, 0.0000, 0.5000), Br at (0.5000, 0.5000, 0.5000) and O at (0.0000, 0.5000, 0.0000).

Most stable: #B. Least stable: #A.